(1)
VASP calculation (PBEsol) on YInN2 after structural relaxation.

Cell and atoms, written as POSCAR:
```
YInN2
1.0
-2.547 2.547 5.127
2.547 -2.547 5.127
2.547 2.547 -5.127
Y In N
2 2 4
Direct
0.000 0.000 0.000 Y
0.750 0.250 0.500 Y
0.250 0.750 0.500 In
0.500 0.500 0.000 In
0.135 0.625 0.010 N
0.375 0.385 0.510 N
0.615 0.125 0.990 N
0.875 0.865 0.490 N
```

Computed properties:
DFT total energy in eV/atom: -7.495
SG: I-42d, No. 122


(2)
VASP calculation (PBEsol) on Na3In after structural relaxation.

Cell and atoms, written as POSCAR:
```
Na3In
1.0
-2.406 2.406 4.918
2.406 -2.406 4.918
2.406 2.406 -4.918
Na In
3 1
Direct
0.000 0.000 0.000 Na
0.250 0.750 0.500 Na
0.750 0.250 0.500 Na
0.500 0.500 0.000 In
```

Computed properties:
DFT total energy in eV/atom: -1.841
Fermi-level density of states in states/eV/atom: 0.603
SG: I4/mmm, No. 139
Formation energy in eV/atom: -0.045


(3)
VASP calculation (PBEsol) on Na3In after structural relaxation.

Cell and atoms, written as POSCAR:
```
Na3In
1.0
0.000 3.845 3.845
3.845 0.000 3.845
3.845 3.845 0.000
Na In
3 1
Direct
0.000 0.000 0.000 Na
0.250 0.250 0.250 Na
0.750 0.750 0.750 Na
0.500 0.500 0.500 In
```

Computed properties:
DFT total energy in eV/atom: -1.835
Fermi-level density of states in states/eV/atom: 0.624
SG: Fm-3m, No. 225
Formation energy in eV/atom: -0.039


(4)
VASP calculation (PBEsol) on Na3NbIn after structural relaxation.

Cell and atoms, written as POSCAR:
```
Na3NbIn
1.0
5.580 0.000 0.000
0.000 5.580 0.000
0.000 0.000 5.580
Na Nb In
3 1 1
Direct
0.000 0.000 0.500 Na
0.000 0.500 0.000 Na
0.500 0.000 0.000 Na
0.500 0.500 0.500 Nb
0.000 0.000 0.000 In
```

Computed properties:
DFT total energy in eV/atom: -2.346
Fermi-level density of states in states/eV/atom: 1.040
SG: Pm-3m, No. 221
Formation energy in eV/atom: 1.255